A plane-wave DFT calculation with PBE was carried out for a relaxed structure of CaAc2RhO6.

Structure (POSCAR):
```
CaAc2RhO6
1.0
-3.455 3.728 -2.871
-4.339 -4.168 -0.189
-2.962 2.753 7.280
Ac O Rh Ca
4 12 2 2
Direct
0.512 0.552 0.750 Ac
0.012 0.948 0.250 Ac
0.988 0.052 0.750 Ac
0.488 0.448 0.250 Ac
0.282 0.691 0.047 O
0.593 0.031 0.265 O
0.718 0.309 0.953 O
0.814 0.780 0.948 O
0.907 0.531 0.235 O
0.093 0.469 0.765 O
0.407 0.969 0.735 O
0.218 0.191 0.453 O
0.314 0.720 0.448 O
0.186 0.220 0.052 O
0.686 0.280 0.552 O
0.782 0.809 0.547 O
0.500 0.000 0.500 Rh
0.000 0.500 0.000 Rh
0.000 0.500 0.500 Ca
0.500 0.000 0.000 Ca
```

## Properties
The space-group type is P2_1/c, No. 14. The density of states at the Fermi level comes out at 13.81 states/eV/cell. The uncorrected formation energy comes out at -2.530 eV per atom. The calculated total energy is -145.2 eV per cell.